No. 1
## CeBeAs2 (PBE-GGA)

Data for a geometry-optimized CeBeAs2 structure.

Summary:
**Size of the total moment**: 0.0000 μB per atom
**ΔH_f (0 K)**: -1.43 eV per formula unit

a = 4.4564 Å, b = 4.4564 Å, c = 20.9387 Å
α = 90.00°, β = 90.00°, γ = 120.00°
Fractional positions:
1 Ce 0.0000 0.0000 0.0000
2 Ce 0.3333 0.6667 0.6667
3 Ce 0.6667 0.3333 0.3333
4 Be 0.0000 0.0000 0.5000
5 Be 0.3333 0.6667 0.1667
6 Be 0.6667 0.3333 0.8333
7 As 0.0000 0.0000 0.4006
8 As 0.0000 0.0000 0.5994
9 As 0.3333 0.6667 0.0672
10 As 0.3333 0.6667 0.2661
11 As 0.6667 0.3333 0.7339
12 As 0.6667 0.3333 0.9328



No. 2
## CeBe5As4 (PBE-GGA)

Data for a geometry-optimized CeBe5As4 structure.

Summary:
**Size of the total moment**: 0.0297 μB per atom
**ΔH_f (0 K)**: -1.03 eV per formula unit

a = 7.8717 Å, b = 10.9288 Å, c = 3.6376 Å
α = 90.00°, β = 90.00°, γ = 90.00°
Fractional positions:
1 Ce 0.2500 0.2500 0.1235
2 Ce 0.7500 0.7500 0.8765
3 Be 0.0974 0.5608 0.1339
4 Be 0.0974 0.9392 0.1339
5 Be 0.2500 0.7500 0.8413
6 Be 0.4026 0.5608 0.1339
7 Be 0.4026 0.9392 0.1339
8 Be 0.5974 0.0608 0.8661
9 Be 0.5974 0.4392 0.8661
10 Be 0.7500 0.2500 0.1587
11 Be 0.9026 0.0608 0.8661
12 Be 0.9026 0.4392 0.8661
13 As 0.0515 0.7500 0.3491
14 As 0.2500 0.0195 0.6486
15 As 0.2500 0.4805 0.6486
16 As 0.4485 0.7500 0.3491
17 As 0.5515 0.2500 0.6509
18 As 0.7500 0.5195 0.3514
19 As 0.7500 0.9805 0.3514
20 As 0.9485 0.2500 0.6509



No. 3
## CeBe8As6 (PBE-GGA)

Data for a geometry-optimized CeBe8As6 structure.

Summary:
**Size of the total moment**: 0.0949 μB per atom
**ΔH_f (0 K)**: -1.08 eV per formula unit

a = 6.7499 Å, b = 6.7499 Å, c = 12.3069 Å
α = 90.00°, β = 90.00°, γ = 120.00°
Fractional positions:
1 Ce 0.0000 0.0000 0.0000
2 Ce 0.0000 0.0000 0.5000
3 Be 0.0000 0.3453 0.1802
4 Be 0.0000 0.3610 0.8355
5 Be 0.0000 0.6390 0.3355
6 Be 0.0000 0.6547 0.6802
7 Be 0.3333 0.6667 0.4328
8 Be 0.3333 0.6667 0.9328
9 Be 0.3453 0.0000 0.1802
10 Be 0.3453 0.3453 0.6802
11 Be 0.3610 0.0000 0.8355
12 Be 0.3610 0.3610 0.3355
13 Be 0.6390 0.0000 0.3355
14 Be 0.6390 0.6390 0.8355
15 Be 0.6547 0.0000 0.6802
16 Be 0.6547 0.6547 0.1802
17 Be 0.6667 0.3333 0.4328
18 Be 0.6667 0.3333 0.9328
19 As 0.0000 0.0000 0.2503
20 As 0.0000 0.0000 0.7503
21 As 0.0000 0.4422 0.0080
22 As 0.0000 0.5578 0.5080
23 As 0.3333 0.6667 0.2470
24 As 0.3333 0.6667 0.7470
25 As 0.4422 0.0000 0.0080
26 As 0.4422 0.4422 0.5080
27 As 0.5578 0.0000 0.5080
28 As 0.5578 0.5578 0.0080
29 As 0.6667 0.3333 0.2470
30 As 0.6667 0.3333 0.7470



No. 4
## Ce2BeNi3As4 (PBE-GGA)

Data for a geometry-optimized Ce2BeNi3As4 structure.

Summary:
**Size of the total moment**: 0.1140 μB per atom
**ΔH_f (0 K)**: -7.42 eV per formula unit

a = 4.2222 Å, b = 4.2222 Å, c = 9.3159 Å
α = 90.00°, β = 90.00°, γ = 90.00°
Fractional positions:
1 Ce 0.0000 0.5000 0.2476
2 Ce 0.5000 0.0000 0.7524
3 Be 0.5000 0.5000 0.0000
4 Ni 0.0000 0.0000 0.0000
5 Ni 0.0000 0.5000 0.6179
6 Ni 0.5000 0.0000 0.3821
7 As 0.0000 0.0000 0.5000
8 As 0.0000 0.5000 0.8707
9 As 0.5000 0.0000 0.1293
10 As 0.5000 0.5000 0.5000



No. 5
## CeBeAsO (PBE-GGA)

Data for a geometry-optimized CeBeAsO structure.

Summary:
**Size of the total moment**: 0.2095 μB per atom
**Uncorrected formation energy**: -1.7743 eV/atom

a = 3.9046 Å, b = 3.9046 Å, c = 8.5624 Å
α = 90.00°, β = 90.00°, γ = 90.00°
Fractional positions:
1 Ce 0.2500 0.2500 0.1483
2 Ce 0.7500 0.7500 0.8517
3 Be 0.2500 0.7500 0.5000
4 Be 0.7500 0.2500 0.5000
5 As 0.2500 0.2500 0.6525
6 As 0.7500 0.7500 0.3475
7 O 0.2500 0.7500 0.0000
8 O 0.7500 0.2500 0.0000



No. 6
## CeBe2As2P (PBE-GGA)

Data for a geometry-optimized CeBe2As2P structure.

Summary:
**Size of the total moment**: 0.1572 μB per atom
**ΔH_f (0 K)**: -2.24 eV per formula unit

a = 4.2187 Å, b = 4.2187 Å, c = 12.5792 Å
α = 90.00°, β = 90.00°, γ = 90.00°
Fractional positions:
1 Ce 0.0000 0.0000 0.0000
2 Ce 0.5000 0.5000 0.5000
3 Be 0.0000 0.0000 0.3371
4 Be 0.0000 0.0000 0.6629
5 Be 0.5000 0.5000 0.1629
6 Be 0.5000 0.5000 0.8371
7 As 0.0000 0.5000 0.2500
8 As 0.0000 0.5000 0.7500
9 As 0.5000 0.0000 0.2500
10 As 0.5000 0.0000 0.7500
11 P 0.0000 0.0000 0.5000
12 P 0.5000 0.5000 0.0000



No. 7
## Ce2BeAsPt6 (PBE-GGA)

Data for a geometry-optimized Ce2BeAsPt6 structure.

Summary:
**Size of the total moment**: 0.1282 μB per atom
**ΔH_f (0 K)**: -5.71 eV per formula unit

a = 6.4880 Å, b = 6.4880 Å, c = 6.4880 Å
α = 60.00°, β = 60.00°, γ = 60.00°
Fractional positions:
1 Ce 0.2500 0.2500 0.2500
2 Ce 0.7500 0.7500 0.7500
3 Be 0.0000 0.0000 0.0000
4 As 0.5000 0.5000 0.5000
5 Pt 0.2363 0.2363 0.7637
6 Pt 0.2363 0.7637 0.2363
7 Pt 0.2363 0.7637 0.7637
8 Pt 0.7637 0.2363 0.2363
9 Pt 0.7637 0.2363 0.7637
10 Pt 0.7637 0.7637 0.2363



No. 8
## BeAs2Cl (PBE-GGA)

Data for a geometry-optimized BeAs2Cl structure.

Summary:
**Size of the total moment**: 0.0347 μB per atom
**Uncorrected formation energy**: 0.2005 eV/atom

a = 3.7936 Å, b = 4.9269 Å, c = 7.7787 Å
α = 90.00°, β = 90.00°, γ = 90.00°
Fractional positions:
1 Be 0.0000 0.0000 0.0000
2 Be 0.5000 0.5000 0.0000
3 As 0.0000 0.5000 0.1766
4 As 0.0000 0.5000 0.8234
5 As 0.5000 0.0000 0.1766
6 As 0.5000 0.0000 0.8234
7 Cl 0.0000 0.0000 0.5000
8 Cl 0.5000 0.5000 0.5000



No. 9
## BeAs2Cl (PBE-GGA)

Data for a geometry-optimized BeAs2Cl structure.

Summary:
**Size of the total moment**: 0.0001 μB per atom
**Uncorrected formation energy**: 0.4655 eV/atom

a = 3.5582 Å, b = 3.5582 Å, c = 6.5745 Å
α = 90.00°, β = 90.00°, γ = 90.00°
Fractional positions:
1 Be 0.0000 0.0000 0.0000
2 As 0.0000 0.5000 0.5000
3 As 0.5000 0.0000 0.5000
4 Cl 0.5000 0.5000 0.0000



No. 10
## BeAs2Cl (PBE-GGA)

Data for a geometry-optimized BeAs2Cl structure.

Summary:
**Size of the total moment**: 0.0000 μB per atom
**Uncorrected formation energy**: -0.1449 eV/atom

a = 4.2171 Å, b = 10.3216 Å, c = 3.3320 Å
α = 90.00°, β = 90.00°, γ = 90.00°
Fractional positions:
1 Be 0.0000 0.0000 0.0000
2 Be 0.5000 0.5000 0.0000
3 As 0.0000 0.1805 0.5000
4 As 0.0000 0.8195 0.5000
5 As 0.5000 0.3195 0.5000
6 As 0.5000 0.6805 0.5000
7 Cl 0.0000 0.5000 0.0000
8 Cl 0.5000 0.0000 0.0000



No. 11
## BeAs2Cl (PBE-GGA)

Data for a geometry-optimized BeAs2Cl structure.

Summary:
**Size of the total moment**: 0.0000 μB per atom
**Uncorrected formation energy**: 0.3247 eV/atom

a = 5.2014 Å, b = 5.2014 Å, c = 13.2542 Å
α = 90.00°, β = 90.00°, γ = 90.00°
Fractional positions:
1 Be 0.0000 0.0000 0.0000
2 Be 0.0000 0.5000 0.2500
3 Be 0.5000 0.0000 0.7500
4 Be 0.5000 0.5000 0.5000
5 As 0.1215 0.2500 0.1250
6 As 0.2500 0.6215 0.3750
7 As 0.2500 0.8785 0.8750
8 As 0.3785 0.2500 0.6250
9 As 0.6215 0.7500 0.6250
10 As 0.7500 0.1215 0.8750
11 As 0.7500 0.3785 0.3750
12 As 0.8785 0.7500 0.1250
13 Cl 0.0000 0.0000 0.5000
14 Cl 0.0000 0.5000 0.7500
15 Cl 0.5000 0.0000 0.2500
16 Cl 0.5000 0.5000 0.0000



No. 12
## BeAsCl3 (PBE-GGA)

Data for a geometry-optimized BeAsCl3 structure.

Summary:
**Size of the total moment**: 0.0391 μB per atom
**Uncorrected formation energy**: 0.2835 eV/atom

a = 5.0532 Å, b = 5.0532 Å, c = 5.0532 Å
α = 90.00°, β = 90.00°, γ = 90.00°
Fractional positions:
1 Be 0.0000 0.0000 0.0000
2 As 0.5000 0.5000 0.5000
3 Cl 0.0000 0.5000 0.5000
4 Cl 0.5000 0.0000 0.5000
5 Cl 0.5000 0.5000 0.0000